## CsLiSc2S4 (PBE)

Data for a relaxed structure of CsLiSc2S4.

POSCAR file:
```
CsLiSc2S4
1.0
1.956 -6.698 0.000
1.956 6.698 0.000
0.000 0.000 13.620
Cs Li Sc S
2 2 4 8
direct
0.105 0.895 0.750 Cs
0.895 0.105 0.250 Cs
0.179 0.821 0.250 Li
0.821 0.179 0.750 Li
0.365 0.635 0.561 Sc
0.365 0.635 0.939 Sc
0.635 0.365 0.061 Sc
0.635 0.365 0.439 Sc
0.000 0.000 0.000 S
0.000 0.000 0.500 S
0.255 0.745 0.096 S
0.255 0.745 0.404 S
0.409 0.591 0.750 S
0.591 0.409 0.250 S
0.745 0.255 0.596 S
0.745 0.255 0.904 S
```

Properties
V in A^3/atom: 22.302
ΔE_f (raw) in eV/atom: -1.65
DOS at the Fermi energy in states/eV per atom: 0.000



## CsLiScS2 (PBE)

Data for a relaxed structure of CsLiScS2.

POSCAR file:
```
CsLiScS2
1.0
3.199 -7.303 0.000
3.199 7.303 0.000
0.000 0.000 6.170
Cs Li Sc S
2 2 2 4
direct
0.250 0.750 0.766 Cs
0.750 0.250 0.234 Cs
0.000 0.000 0.000 Li
0.500 0.500 0.000 Li
0.250 0.250 0.500 Sc
0.750 0.750 0.500 Sc
0.100 0.900 0.288 S
0.400 0.600 0.288 S
0.600 0.400 0.712 S
0.900 0.100 0.712 S
```

Properties
V in A^3/atom: 28.824
ΔE_f (raw) in eV/atom: -1.29
DOS at the Fermi energy in states/eV per atom: 0.534



## CsLiSiS3 (PBE)

Data for a relaxed structure of CsLiSiS3.

POSCAR file:
```
CsLiSiS3
1.0
5.799 -4.099 0.000
5.799 4.099 0.000
-4.801 0.000 7.562
Cs Li Si S
2 2 2 6
direct
0.228 0.228 0.146 Cs
0.772 0.772 0.854 Cs
0.187 0.813 0.500 Li
0.813 0.187 0.500 Li
0.362 0.362 0.710 Si
0.638 0.638 0.290 Si
0.186 0.186 0.716 S
0.237 0.670 0.722 S
0.330 0.763 0.278 S
0.670 0.237 0.722 S
0.763 0.330 0.278 S
0.814 0.814 0.284 S
```

Properties
V in A^3/atom: 29.959
ΔE_f (raw) in eV/atom: -0.99
DOS at the Fermi energy in states/eV per atom: 0.000



## CsLi2SiS4 (PBE)

Data for a relaxed structure of CsLi2SiS4.

POSCAR file:
```
CsLi2SiS4
1.0
-3.311 3.311 4.597
3.311 -3.311 4.597
3.311 3.311 -4.597
Cs Li Si S
1 2 1 4
direct
0.000 0.000 0.000 Cs
0.250 0.750 0.500 Li
0.750 0.250 0.500 Li
0.500 0.500 0.000 Si
0.177 0.177 0.647 S
0.470 0.823 0.000 S
0.530 0.530 0.353 S
0.823 0.470 0.000 S
```

Properties
V in A^3/atom: 25.202
ΔE_f (raw) in eV/atom: -0.93
DOS at the Fermi energy in states/eV per atom: 0.658



## Cs2LiSn2S4 (PBE)

Data for a relaxed structure of Cs2LiSn2S4.

POSCAR file:
```
Cs2LiSn2S4
1.0
8.709 -1.934 0.000
8.709 1.934 0.000
-4.009 0.000 7.814
Cs Li Sn S
2 1 2 4
direct
0.117 0.117 0.037 Cs
0.883 0.883 0.963 Cs
0.000 0.000 0.500 Li
0.318 0.318 0.468 Sn
0.682 0.682 0.532 Sn
0.178 0.178 0.723 S
0.463 0.463 0.696 S
0.537 0.537 0.304 S
0.822 0.822 0.277 S
```

Properties
V in A^3/atom: 29.254
ΔE_f (raw) in eV/atom: -0.82
DOS at the Fermi energy in states/eV per atom: 0.181



## CsLiSnS2 (PBE)

Data for a relaxed structure of CsLiSnS2.

POSCAR file:
```
CsLiSnS2
1.0
8.258 -2.065 0.000
8.258 2.065 0.000
-1.062 0.000 9.527
Cs Li Sn S
2 2 2 4
direct
0.149 0.149 0.297 Cs
0.851 0.851 0.703 Cs
0.205 0.205 0.927 Li
0.795 0.795 0.073 Li
0.420 0.420 0.245 Sn
0.580 0.580 0.755 Sn
0.165 0.165 0.672 S
0.353 0.353 0.997 S
0.647 0.647 0.003 S
0.835 0.835 0.328 S
```

Properties
V in A^3/atom: 32.498
ΔE_f (raw) in eV/atom: -0.96



## CsLiSnS3 (PBE)

Data for a relaxed structure of CsLiSnS3.

POSCAR file:
```
CsLiSnS3
1.0
3.538 -6.635 0.000
3.538 6.635 0.000
0.000 0.000 6.969
Cs Li Sn S
2 2 2 6
direct
0.243 0.757 0.750 Cs
0.757 0.243 0.250 Cs
0.076 0.924 0.250 Li
0.924 0.076 0.750 Li
0.440 0.560 0.250 Sn
0.560 0.440 0.750 Sn
0.258 0.258 0.000 S
0.258 0.258 0.500 S
0.262 0.738 0.250 S
0.738 0.262 0.750 S
0.742 0.742 0.000 S
0.742 0.742 0.500 S
```

Properties
V in A^3/atom: 27.271
ΔE_f (raw) in eV/atom: -0.87



## CsLiSnS (PBE)

Data for a relaxed structure of CsLiSnS.

POSCAR file:
```
CsLiSnS
1.0
4.248 0.000 0.000
0.000 4.248 0.000
0.000 0.000 14.304
Cs Li Sn S
2 2 2 2
direct
0.250 0.250 0.211 Cs
0.750 0.750 0.789 Cs
0.250 0.750 0.000 Li
0.750 0.250 0.000 Li
0.250 0.750 0.500 Sn
0.750 0.250 0.500 Sn
0.250 0.250 0.909 S
0.750 0.750 0.091 S
```

Properties
V in A^3/atom: 32.263
ΔE_f (raw) in eV/atom: -0.77
DOS at the Fermi energy in states/eV per atom: 0.875



## CsLi2TaS (PBE)

Data for a relaxed structure of CsLi2TaS.

POSCAR file:
```
CsLi2TaS
1.0
4.810 0.000 0.000
0.000 4.810 0.000
0.000 0.000 5.440
Cs Li Ta S
1 2 1 1
direct
0.000 0.000 0.000 Cs
0.000 0.500 0.000 Li
0.500 0.000 0.000 Li
0.000 0.000 0.500 Ta
0.500 0.500 0.500 S
```

Properties
V in A^3/atom: 25.176
ΔE_f (raw) in eV/atom: 1.84
DOS at the Fermi energy in states/eV per atom: 0.877



## CsLiTb2S4 (PBE)

Data for a relaxed structure of CsLiTb2S4.

POSCAR file:
```
CsLiTb2S4
1.0
2.050 -6.972 0.000
2.050 6.972 0.000
0.000 0.000 14.179
Cs Li Tb S
2 2 4 8
direct
0.104 0.896 0.750 Cs
0.896 0.104 0.250 Cs
0.175 0.825 0.250 Li
0.825 0.175 0.750 Li
0.366 0.634 0.560 Tb
0.366 0.634 0.940 Tb
0.634 0.366 0.060 Tb
0.634 0.366 0.440 Tb
0.000 0.000 0.000 S
0.000 0.000 0.500 S
0.257 0.743 0.102 S
0.257 0.743 0.398 S
0.410 0.590 0.750 S
0.590 0.410 0.250 S
0.743 0.257 0.602 S
0.743 0.257 0.898 S
```

Properties
V in A^3/atom: 25.327
ΔE_f (raw) in eV/atom: -1.84
DOS at the Fermi energy in states/eV per atom: 0.000



## CsLiTe2S4 (PBE)

Data for a relaxed structure of CsLiTe2S4.

POSCAR file:
```
CsLiTe2S4
1.0
-3.400 3.499 4.971
3.400 -3.499 4.971
3.400 3.499 -4.971
Cs Li Te S
1 1 2 4
direct
0.000 0.000 0.000 Cs
0.500 0.500 0.000 Li
0.238 0.738 0.500 Te
0.762 0.262 0.500 Te
0.148 0.549 0.026 S
0.478 0.451 0.600 S
0.522 0.122 0.974 S
0.852 0.878 0.400 S
```

Properties
V in A^3/atom: 29.571
ΔE_f (raw) in eV/atom: -0.39
DOS at the Fermi energy in states/eV per atom: 0.204



## Cs2LiTeS (PBE)

Data for a relaxed structure of Cs2LiTeS.

POSCAR file:
```
Cs2LiTeS
1.0
6.989 0.000 0.000
0.000 6.989 0.000
0.000 0.000 4.368
Cs Li Te S
2 1 1 1
direct
0.000 0.500 0.000 Cs
0.500 0.000 0.000 Cs
0.000 0.000 0.500 Li
0.500 0.500 0.500 Te
0.000 0.000 0.000 S
```

Properties
V in A^3/atom: 42.666
ΔE_f (raw) in eV/atom: -0.85
DOS at the Fermi energy in states/eV per atom: 1.420



## Cs4LiTh3S8 (PBE)

Data for a relaxed structure of Cs4LiTh3S8.

POSCAR file:
```
Cs4LiTh3S8
1.0
4.223 2.438 8.051
-4.223 2.438 8.051
0.000 -4.877 8.051
Cs Li Th S
4 1 3 8
direct
0.000 0.000 0.000 Cs
0.000 0.500 0.500 Cs
0.500 0.000 0.500 Cs
0.500 0.500 0.000 Cs
0.500 0.500 0.500 Li
0.000 0.000 0.500 Th
0.000 0.500 0.000 Th
0.500 0.000 0.000 Th
0.215 0.734 0.734 S
0.229 0.229 0.229 S
0.266 0.266 0.785 S
0.266 0.785 0.266 S
0.734 0.215 0.734 S
0.734 0.734 0.215 S
0.771 0.771 0.771 S
0.785 0.266 0.266 S
```

Properties
V in A^3/atom: 31.087
ΔE_f (raw) in eV/atom: -1.63
DOS at the Fermi energy in states/eV per atom: 0.337



## CsLiTiS3 (PBE)

Data for a relaxed structure of CsLiTiS3.

POSCAR file:
```
CsLiTiS3
1.0
3.481 -6.278 0.000
3.481 6.278 0.000
0.000 0.000 6.734
Cs Li Ti S
2 2 2 6
direct
0.238 0.762 0.750 Cs
0.762 0.238 0.250 Cs
0.069 0.931 0.250 Li
0.931 0.069 0.750 Li
0.446 0.554 0.250 Ti
0.554 0.446 0.750 Ti
0.266 0.266 0.000 S
0.266 0.266 0.500 S
0.271 0.729 0.250 S
0.729 0.271 0.750 S
0.734 0.734 0.000 S
0.734 0.734 0.500 S
```

Properties
V in A^3/atom: 24.526
ΔE_f (raw) in eV/atom: -1.35



## CsLiTlS (PBE)

Data for a relaxed structure of CsLiTlS.

POSCAR file:
```
CsLiTlS
1.0
4.398 0.000 0.000
0.000 4.398 0.000
0.000 0.000 14.321
Cs Li Tl S
2 2 2 2
direct
0.250 0.250 0.198 Cs
0.750 0.750 0.802 Cs
0.250 0.750 0.000 Li
0.750 0.250 0.000 Li
0.250 0.750 0.500 Tl
0.750 0.250 0.500 Tl
0.250 0.250 0.913 S
0.750 0.750 0.087 S
```

Properties
V in A^3/atom: 34.622
ΔE_f (raw) in eV/atom: -0.78
DOS at the Fermi energy in states/eV per atom: 0.962



## CsLiTlS2 (PBE)

Data for a relaxed structure of CsLiTlS2.

POSCAR file:
```
CsLiTlS2
1.0
3.076 -7.489 0.000
3.076 7.489 0.000
0.000 0.000 6.774
Cs Li Tl S
2 2 2 4
direct
0.250 0.750 0.769 Cs
0.750 0.250 0.231 Cs
0.250 0.250 0.000 Li
0.750 0.750 0.000 Li
0.000 0.000 0.500 Tl
0.500 0.500 0.500 Tl
0.104 0.896 0.191 S
0.396 0.604 0.191 S
0.604 0.396 0.809 S
0.896 0.104 0.809 S
```

Properties
V in A^3/atom: 31.201
ΔE_f (raw) in eV/atom: -0.66
DOS at the Fermi energy in states/eV per atom: 0.373



## CsLiTm2S4 (PBE)

Data for a relaxed structure of CsLiTm2S4.

POSCAR file:
```
CsLiTm2S4
1.0
2.018 -6.880 0.000
2.018 6.880 0.000
0.000 0.000 14.016
Cs Li Tm S
2 2 4 8
direct
0.105 0.895 0.750 Cs
0.895 0.105 0.250 Cs
0.176 0.824 0.250 Li
0.824 0.176 0.750 Li
0.365 0.635 0.560 Tm
0.365 0.635 0.940 Tm
0.635 0.365 0.060 Tm
0.635 0.365 0.440 Tm
0.000 0.000 0.000 S
0.000 0.000 0.500 S
0.257 0.743 0.101 S
0.257 0.743 0.399 S
0.410 0.590 0.750 S
0.590 0.410 0.250 S
0.743 0.257 0.601 S
0.743 0.257 0.899 S
```

Properties
V in A^3/atom: 24.320
ΔE_f (raw) in eV/atom: -1.82
DOS at the Fermi energy in states/eV per atom: 0.000



## CsLi3U4S12 (PBE)

Data for a relaxed structure of CsLi3U4S12.

POSCAR file:
```
CsLi3U4S12
1.0
-4.961 4.961 4.961
4.961 -4.961 4.961
4.961 4.961 -4.961
Cs Li U S
1 3 4 12
direct
0.000 0.000 0.000 Cs
0.000 0.500 0.500 Li
0.500 0.000 0.500 Li
0.500 0.500 0.000 Li
0.000 0.000 0.500 U
0.000 0.500 0.000 U
0.500 0.000 0.000 U
0.500 0.500 0.500 U
0.122 0.814 0.308 S
0.186 0.308 0.493 S
0.186 0.692 0.878 S
0.308 0.122 0.814 S
0.308 0.493 0.186 S
0.493 0.186 0.308 S
0.507 0.814 0.692 S
0.692 0.507 0.814 S
0.692 0.878 0.186 S
0.814 0.308 0.122 S
0.814 0.692 0.507 S
0.878 0.186 0.692 S
```

Properties
V in A^3/atom: 24.420
ΔE_f (raw) in eV/atom: -1.23
DOS at the Fermi energy in states/eV per atom: 0.691



## CsLiUS4 (PBE)

Data for a relaxed structure of CsLiUS4.

POSCAR file:
```
CsLiUS4
1.0
6.636 0.000 0.000
0.000 6.749 0.000
-0.885 0.000 8.705
Cs Li U S
2 2 2 8
direct
0.216 0.250 0.058 Cs
0.784 0.750 0.942 Cs
0.355 0.250 0.656 Li
0.645 0.750 0.344 Li
0.174 0.750 0.454 U
0.826 0.250 0.546 U
0.092 0.503 0.678 S
0.092 0.997 0.678 S
0.323 0.750 0.202 S
0.477 0.250 0.415 S
0.523 0.750 0.585 S
0.677 0.250 0.798 S
0.908 0.003 0.322 S
0.908 0.497 0.322 S
```

Properties
V in A^3/atom: 27.848
ΔE_f (raw) in eV/atom: -1.18



## Cs3LiU2S6 (PBE)

Data for a relaxed structure of Cs3LiU2S6.

POSCAR file:
```
Cs3LiU2S6
1.0
3.564 -6.189 0.000
3.564 6.189 0.000
-2.347 0.000 8.008
Cs Li U S
3 1 2 6
direct
0.000 0.000 0.000 Cs
0.341 0.659 0.000 Cs
0.659 0.341 0.000 Cs
0.500 0.500 0.500 Li
0.167 0.833 0.500 U
0.833 0.167 0.500 U
0.086 0.440 0.319 S
0.209 0.209 0.676 S
0.440 0.086 0.319 S
0.560 0.914 0.681 S
0.791 0.791 0.324 S
0.914 0.560 0.681 S
```

Properties
V in A^3/atom: 29.440
ΔE_f (raw) in eV/atom: -1.36
DOS at the Fermi energy in states/eV per atom: 0.907



## Cs3LiU3S8 (PBE)

Data for a relaxed structure of Cs3LiU3S8.

POSCAR file:
```
Cs3LiU3S8
1.0
4.042 2.333 8.120
-4.042 2.333 8.120
0.000 -4.667 8.120
Cs Li U S
3 1 3 8
direct
0.000 0.500 0.500 Cs
0.500 0.000 0.500 Cs
0.500 0.500 0.000 Cs
0.500 0.500 0.500 Li
0.000 0.000 0.500 U
0.000 0.500 0.000 U
0.500 0.000 0.000 U
0.211 0.732 0.732 S
0.227 0.227 0.227 S
0.268 0.268 0.789 S
0.268 0.789 0.268 S
0.732 0.211 0.732 S
0.732 0.732 0.211 S
0.773 0.773 0.773 S
0.789 0.268 0.268 S
```

Properties
V in A^3/atom: 30.632
ΔE_f (raw) in eV/atom: -1.38
DOS at the Fermi energy in states/eV per atom: 0.840